[1]
A relaxed K2Sr3 crystal. Source: Alexandria via LeMat-Bulk, functional PBE-GGA.

Geometry as POSCAR:
```
K2Sr3
1.0
4.3086 0.0000 0.5120
2.1239 3.7487 0.5120
-0.0266 -0.0155 18.6094
K Sr
2 3
direct
0.2971 0.2971 0.1087
0.7029 0.7029 0.8913
0.1044 0.1044 0.6869
0.5000 0.5000 0.5000
0.8956 0.8956 0.3131
```

Output
Space-group type: R-3m (166)
Crystal system: trigonal
Total moment: 0.00 μB per cell
Energy above the lowest structure with this stoichiometry: 0 kJ/mol of formula units
Energy relative to the elements: 0.041 eV/atom

[2]
A relaxed KSr5 crystal. Source: Alexandria via LeMat-Bulk, functional PBE-GGA.

Geometry as POSCAR:
```
KSr5
1.0
-0.7916 4.6256 -0.3667
-5.0042 -1.2219 -4.6110
-4.4459 0.0318 9.9994
Sr K
5 1
direct
0.0000 0.6697 0.3394
0.0000 0.3303 0.6606
0.5000 0.5000 0.0000
0.5000 0.1680 0.3360
0.5000 0.8320 0.6640
0.0000 0.0000 0.0000
```

Output
Space-group type: Cmmm (65)
Crystal system: orthorhombic
Total moment: 0.00 μB per cell
Energy above the lowest structure with this stoichiometry: 13 kJ/mol of formula units
Energy relative to the elements: 0.058 eV/atom

[3]
A relaxed KSr7 crystal. Source: Alexandria via LeMat-Bulk, functional PBE-GGA.

Geometry as POSCAR:
```
KSr7
1.0
7.0519 0.0000 0.0000
0.0000 7.4528 -4.3029
0.0000 0.0000 8.6058
K Sr
1 7
direct
0.0000 0.0000 0.0000
0.0000 0.9991 0.4996
0.0000 0.5004 0.0009
0.0000 0.5004 0.4996
0.5000 0.8300 0.1700
0.5000 0.8300 0.6600
0.5000 0.3400 0.1700
0.5000 0.3333 0.6667
```

Output
Space-group type: P-6m2 (187)
Crystal system: hexagonal
Total moment: 0.00 μB per cell
Energy relative to the elements: 0.043 eV/atom

[4]
A relaxed K3Sr4 crystal. Source: Alexandria via LeMat-Bulk, functional PBE-GGA.

Geometry as POSCAR:
```
K3Sr4
1.0
3.8342 -6.6411 0.0000
3.8342 6.6411 0.0000
0.0000 0.0000 8.2015
K Sr
3 4
direct
0.0000 0.5000 0.0000
0.5000 0.5000 0.0000
0.5000 0.0000 0.0000
0.0000 0.0000 0.2657
0.0000 0.0000 0.7343
0.6667 0.3333 0.5000
0.3333 0.6667 0.5000
```

Output
Space-group type: P6/mmm (191)
Crystal system: hexagonal
Total moment: 0.00 μB per cell
Energy relative to the elements: 0.135 eV/atom

[5]
A relaxed K4Sr5 crystal. Source: Alexandria via LeMat-Bulk, functional PBE-GGA.

Geometry as POSCAR:
```
K4Sr5
1.0
-5.6880 9.2321 -1.1499
1.1736 -10.6591 1.9782
3.5067 2.7737 9.9457
Sr K
5 4
direct
0.0000 0.0000 0.0000
0.6628 0.3372 0.0000
0.3372 0.6628 0.0000
0.3372 0.3372 0.6744
0.6628 0.6628 0.3256
0.6676 0.0000 0.6676
0.3324 0.0000 0.3324
0.0000 0.3324 0.3324
0.0000 0.6676 0.6676
```

Output
Space-group type: I4/mmm (139)
Crystal system: tetragonal
Total moment: 0.00 μB per cell
Energy above the lowest structure with this stoichiometry: 0 kJ/mol of formula units
Energy relative to the elements: 0.087 eV/atom

[6]
A relaxed KSr2Ta crystal. Source: Alexandria via LeMat-Bulk, functional PBE-GGA.

Geometry as POSCAR:
```
KSr2Ta
1.0
-3.5005 -3.0391 5.0302
3.7749 -4.2594 3.7949
0.7264 6.4665 -2.1095
K Sr Ta
1 2 1
direct
0.7500 0.2500 0.5000
0.0000 0.0000 0.0000
0.2500 0.7500 0.5000
0.5000 0.5000 0.0000
```

Output
Space-group type: I-4m2 (119)
Crystal system: tetragonal
Total moment: 3.73 μB per cell
Energy above the lowest structure with this stoichiometry: 135 kJ/mol of formula units
Energy relative to the elements: 1.127 eV/atom

[7]
A relaxed KSr3Ta crystal. Source: Alexandria via LeMat-Bulk, functional PBE-GGA.

Geometry as POSCAR:
```
KSr3Ta
1.0
6.2377 0.0000 0.0000
0.0000 6.2377 0.0000
0.0000 0.0000 6.2377
Sr K Ta
3 1 1
direct
0.0000 0.5000 0.0000
0.0000 0.0000 0.5000
0.5000 0.0000 0.0000
0.5000 0.5000 0.5000
0.0000 0.0000 0.0000
```

Output
Space-group type: Pm-3m (221)
Crystal system: cubic
Total moment: 0.47 μB per cell
Energy above the lowest structure with this stoichiometry: 0 kJ/mol of formula units
Energy relative to the elements: 0.878 eV/atom

[8]
A relaxed KSrTa2 crystal. Source: Alexandria via LeMat-Bulk, functional PBE-GGA.

Geometry as POSCAR:
```
KSrTa2
1.0
6.6745 -0.0169 0.0000
-4.1331 5.2409 0.0000
0.0000 0.0000 2.9241
K Sr Ta
1 1 2
direct
0.5000 0.0000 0.5000
0.0000 0.5000 0.5000
0.0000 0.0000 0.0000
0.5000 0.5000 0.0000
```

Output
Space-group type: Cmmm (65)
Crystal system: orthorhombic
Total moment: 0.00 μB per cell
Energy above the lowest structure with this stoichiometry: 282 kJ/mol of formula units
Energy relative to the elements: 1.406 eV/atom

[9]
A relaxed KSrTa2 crystal. Source: Alexandria via LeMat-Bulk, functional PBE-GGA.

Geometry as POSCAR:
```
KSrTa2
1.0
-2.2502 -2.2681 -0.4153
2.8106 -1.2113 -1.0067
2.1225 -4.0921 10.8491
K Sr Ta
1 1 2
direct
0.0000 0.0000 0.4667
0.5000 0.5000 0.8023
0.0000 0.0000 0.0369
0.5000 0.5000 0.1941
```

Output
Space-group type: Cmm2 (35)
Crystal system: orthorhombic
Total moment: 0.00 μB per cell
Energy above the lowest structure with this stoichiometry: 62 kJ/mol of formula units
Energy relative to the elements: 0.836 eV/atom

[10]
A relaxed KSr2Ta crystal. Source: Alexandria via LeMat-Bulk, functional PBE-GGA.

Geometry as POSCAR:
```
KSr2Ta
1.0
-2.0692 2.9373 0.9040
-3.7848 -1.1353 -4.9746
-3.6669 -3.7018 3.6347
K Sr Ta
1 2 1
direct
0.5000 0.0000 0.5000
0.0000 0.0000 0.0000
0.0000 0.5000 0.5000
0.5000 0.5000 0.0000
```

Output
Space-group type: P4/mmm (123)
Crystal system: tetragonal
Total moment: 2.30 μB per cell
Energy above the lowest structure with this stoichiometry: 115 kJ/mol of formula units
Energy relative to the elements: 1.075 eV/atom

[11]
A relaxed KSr2Ta crystal. Source: Alexandria via LeMat-Bulk, functional PBE-GGA.

Geometry as POSCAR:
```
KSr2Ta
1.0
-7.7289 6.0183 0.2452
-0.5175 -0.2660 -9.7815
-6.5231 -0.2144 -4.5571
Sr K Ta
4 2 2
direct
0.6673 0.1250 0.2500
0.0827 0.6250 0.2500
0.3750 0.3327 0.7500
0.8750 0.9173 0.7500
0.5000 0.5000 0.0000
0.2500 0.7500 0.5000
0.0000 0.0000 0.0000
0.7500 0.2500 0.5000
```

Output
Space-group type: I-42d (122)
Crystal system: tetragonal
Total moment: 10.11 μB per cell
Energy above the lowest structure with this stoichiometry: 194 kJ/mol of formula units
Energy relative to the elements: 1.280 eV/atom

[12]
A relaxed KSrTa2 crystal. Source: Alexandria via LeMat-Bulk, functional PBE-GGA.

Geometry as POSCAR:
```
KSrTa2
1.0
3.3822 0.0000 0.0000
0.0000 4.8120 0.0000
0.0000 0.0000 6.1775
K Sr Ta
1 1 2
direct
0.5000 0.0000 0.5000
0.0000 0.5000 0.5000
0.0000 0.0000 0.0000
0.5000 0.5000 0.0000
```

Output
Space-group type: Pmmm (47)
Crystal system: orthorhombic
Total moment: 0.00 μB per cell
Energy above the lowest structure with this stoichiometry: 250 kJ/mol of formula units
Energy relative to the elements: 1.323 eV/atom

[13]
A relaxed KSrTa2 crystal. Source: Alexandria via LeMat-Bulk, functional PBE-GGA.

Geometry as POSCAR:
```
KSrTa2
1.0
-2.6691 -5.9542 2.0385
3.2032 -5.6162 2.2204
-1.4035 6.6764 0.4342
K Sr Ta
1 1 2
direct
0.7500 0.2500 0.5000
0.2500 0.7500 0.5000
0.0023 0.0023 0.0000
0.4977 0.4977 0.0000
```

Output
Space-group type: Immm (71)
Crystal system: orthorhombic
Total moment: 0.00 μB per cell
Energy above the lowest structure with this stoichiometry: 249 kJ/mol of formula units
Energy relative to the elements: 1.320 eV/atom

[14]
A relaxed KSrTa2 crystal. Source: Alexandria via LeMat-Bulk, functional PBE-GGA.

Geometry as POSCAR:
```
KSrTa2
1.0
-0.3257 -4.4214 -2.1042
1.9336 -2.8262 -3.5152
6.1779 -3.5715 5.8541
K Sr Ta
1 1 2
direct
0.4942 0.4942 0.5594
0.2617 0.2617 0.1667
0.0057 0.0057 0.9273
0.7384 0.7384 0.8466
```

Output
Space-group type: Cm (8)
Crystal system: monoclinic
Total moment: 0.00 μB per cell
Energy above the lowest structure with this stoichiometry: 101 kJ/mol of formula units
Energy relative to the elements: 0.936 eV/atom

Going through the records in order, we get calculated density values of 1.88, 2.35, 2.40, 1.86, 1.82, 4.10, 3.30, 7.95, 6.96, 4.39, 3.49, 8.07, 8.08, 6.09 g/cm³.